A plane-wave DFT calculation with PBE+U was carried out for crystalline CoCu2F6 at its relaxed geometry.

Calculated values
mass density	4.50	g cm⁻³
space group	C2/c
E	-4.36	eV per atom
total moment	10.06	μB/cell
crystal system	monoclinic

Lattice parameters (Å, degrees): 5.178 6.788 6.788 97.64 76.58 76.58
Each line ends with the local moment (μB).
Fractional positions:
1 Cu 0.619 0.460 0.265  0.69
2 Cu 0.881 0.735 0.540  0.69
3 Cu 0.381 0.540 0.735  0.69
4 Cu 0.119 0.265 0.460  0.69
5 F 0.431 0.687 0.507  0.14
6 F 0.069 0.493 0.313  0.14
7 F 0.338 0.075 0.197  0.10
8 F 0.838 0.197 0.075  0.10
9 F 0.162 0.803 0.925  0.10
10 F 0.658 0.639 0.079  0.12
11 F 0.842 0.921 0.361  0.12
12 F 0.342 0.361 0.921  0.12
13 F 0.662 0.925 0.803  0.10
14 F 0.931 0.507 0.687  0.14
15 F 0.569 0.313 0.493  0.14
16 F 0.158 0.079 0.639  0.12
17 Co 0.250 0.094 0.906  2.87
18 Co 0.750 0.906 0.094  2.87